Record 1
VASP calculation (GGA-PBE) on a relaxed Sm2InS4 crystal.

Energy relative to the lowest polymorph listed for this composition ... 0.83 kcal/mol of atoms
Crystal system ... monoclinic

abc: 7.599 7.599 7.141
angles: 116.34 116.34 31.02
Positions (direct):
Sm1 0.224 0.224 0.216
Sm2 0.776 0.776 0.784
In1 0.500 0.500 0.500
S1 0.142 0.142 0.501
S2 0.373 0.373 0.064
S3 0.627 0.627 0.936
S4 0.858 0.858 0.499

=====

Record 2
VASP calculation (GGA-PBE) on a relaxed V4CoRu5 crystal.

Raw total energy ... -9.168 eV per atom
Crystal system ... tetragonal

abc: 3.029 3.029 14.718
angles: 90.00 90.00 90.00
Positions (direct):
V1 0.000 0.000 0.104
V2 0.000 0.000 0.312
V3 0.000 0.000 0.688
V4 0.000 0.000 0.896
Co1 0.000 0.000 0.500
Ru1 0.500 0.500 0.000
Ru2 0.500 0.500 0.202
Ru3 0.500 0.500 0.400
Ru4 0.500 0.500 0.600
Ru5 0.500 0.500 0.798

=====

Record 3
VASP calculation (GGA-PBE) on a relaxed FeRe2Ag crystal.

Energy relative to the lowest polymorph listed for this composition ... 4.62 kcal/mol of atoms
Crystal system ... monoclinic

abc: 4.782 4.782 4.922
angles: 98.91 98.91 32.26
Positions (direct):
Fe1 0.000 0.000 0.000
Re1 0.271 0.271 0.742
Re2 0.513 0.513 0.527
Ag1 0.754 0.754 0.234

=====

Record 4
VASP calculation (GGA-PBE) on a relaxed DyAl6Ga crystal.

Raw total energy ... -3.888 eV per atom
Crystal system ... orthorhombic

abc: 5.835 5.835 4.845
angles: 90.00 90.00 115.89
Positions (direct):
Dy1 0.000 0.000 0.000
Al1 0.000 0.500 0.000
Al2 0.223 0.777 0.500
Al3 0.294 0.294 0.500
Al4 0.500 0.000 0.000
Al5 0.706 0.706 0.500
Al6 0.777 0.223 0.500
Ga1 0.500 0.500 0.000

=====

Record 5
VASP calculation (GGA-PBE) on a relaxed TbGd2Mn crystal.

Energy relative to the lowest polymorph listed for this composition ... 0.00 kcal/mol of atoms
Crystal system ... tetragonal

abc: 3.522 3.522 8.841
angles: 90.00 90.00 90.00
Positions (direct):
Tb1 0.000 0.000 0.000
Gd1 0.500 0.500 0.299
Gd2 0.500 0.500 0.701
Mn1 0.000 0.000 0.500

=====

Record 6
VASP calculation (GGA-PBE) on a relaxed Y4MnTl crystal.

Energy relative to the lowest polymorph listed for this composition ... 0.00 kcal/mol of atoms
Crystal system ... monoclinic

abc: 7.854 7.854 6.070
angles: 99.32 99.32 111.85
Positions (direct):
Y1 0.061 0.727 0.955
Y2 0.203 0.361 0.611
Y3 0.273 0.939 0.545
Y4 0.361 0.203 0.111
Y5 0.639 0.797 0.889
Y6 0.727 0.061 0.455
Y7 0.797 0.639 0.389
Y8 0.939 0.273 0.045
Mn1 0.001 0.999 0.750
Mn2 0.999 0.001 0.250
Tl1 0.374 0.626 0.250
Tl2 0.626 0.374 0.750

=====

Record 7
VASP calculation (GGA-PBE) on a relaxed SrCe2Hg4 crystal.

Raw total energy ... -2.314 eV per atom
Crystal system ... trigonal

abc: 9.629 9.629 9.629
angles: 32.08 32.08 32.08
Positions (direct):
Sr1 0.000 0.000 0.000
Ce1 0.236 0.236 0.236
Ce2 0.764 0.764 0.764
Hg1 0.121 0.121 0.121
Hg2 0.396 0.396 0.396
Hg3 0.604 0.604 0.604
Hg4 0.879 0.879 0.879

=====

Record 8
VASP calculation (GGA-PBE) on a relaxed Zr2MoPt crystal.

Raw total energy ... -8.450 eV per atom
Crystal system ... trigonal

abc: 9.701 9.701 9.701
angles: 18.09 18.09 18.09
Positions (direct):
Zr1 0.000 0.000 0.000
Zr2 0.242 0.242 0.242
Mo1 0.752 0.752 0.752
Pt1 0.493 0.493 0.493

=====

Record 9
VASP calculation (GGA-PBE) on a relaxed TlAu2OF crystal.

Raw total energy ... -3.496 eV per atom
Crystal system ... tetragonal

abc: 4.147 4.147 6.538
angles: 90.00 90.00 90.00
Positions (direct):
Tl1 0.000 0.000 0.000
Au1 0.000 0.500 0.500
Au2 0.500 0.000 0.500
O1 0.500 0.500 0.500
F1 0.500 0.500 0.000

=====

Record 10
VASP calculation (GGA-PBE) on a relaxed KAgSnHg crystal.

Raw total energy ... -2.071 eV per atom
Crystal system ... cubic

abc: 5.311 5.311 5.311
angles: 60.00 60.00 60.00
Positions (direct):
K1 0.000 0.000 0.000
Ag1 0.250 0.250 0.250
Sn1 0.500 0.500 0.500
Hg1 0.750 0.750 0.750

=====

Record 11
VASP calculation (GGA-PBE) on a relaxed Ca2Si3Rh5 crystal.

Raw total energy ... -6.454 eV per atom
Crystal system ... orthorhombic

abc: 12.485 12.485 6.490
angles: 90.00 90.00 161.34
Positions (direct):
Ca1 0.016 0.984 0.500
Ca2 0.324 0.676 0.484
Ca3 0.676 0.324 0.984
Ca4 0.984 0.016 0.000
Si1 0.111 0.889 0.740
Si2 0.272 0.728 0.969
Si3 0.443 0.557 0.709
Si4 0.557 0.443 0.209
Si5 0.728 0.272 0.469
Si6 0.889 0.111 0.240
Rh1 0.102 0.898 0.147
Rh2 0.207 0.793 0.680
Rh3 0.212 0.788 0.264
Rh4 0.369 0.631 0.977
Rh5 0.437 0.563 0.340
Rh6 0.563 0.437 0.840
Rh7 0.631 0.369 0.477
Rh8 0.788 0.212 0.764
Rh9 0.793 0.207 0.180
Rh10 0.898 0.102 0.647

=====

Record 12
VASP calculation (GGA-PBE) on a relaxed Ta4OsPt crystal.

Raw total energy ... -10.529 eV per atom
Crystal system ... cubic

abc: 5.296 5.296 5.296
angles: 60.00 60.00 60.00
Positions (direct):
Ta1 0.124 0.124 0.124
Ta2 0.124 0.124 0.628
Ta3 0.124 0.628 0.124
Ta4 0.628 0.124 0.124
Os1 0.750 0.750 0.750
Pt1 0.500 0.500 0.500

=====

What is the formula in the ninth record? TlAu2OF

=====

Number 4 is which compound? DyAl6Ga